# 1
A plane-wave DFT calculation with PBEsol was carried out for BaSc2Bi2 after structural relaxation.

Cell: 4.6647 4.6647 7.9615 Å, 107.03 107.03 90.00°
Site moments in Bohr magnetons follow the coordinates.
Fractional coordinates of all 5 atoms:
Sc 0.2500 0.7500 0.5000  0.40
Sc 0.7500 0.2500 0.5000  0.40
Bi 0.3772 0.3772 0.7544  -0.03
Bi 0.6228 0.6228 0.2456  -0.03
Ba 0.0000 0.0000 0.0000  0.02

Summary:
* density of states at the Fermi level: 4.17 states/eV/cell
* formation energy: -67 kJ/mol of atoms


# 2
A plane-wave DFT calculation with PBEsol was carried out for NdTiGe after structural relaxation.

Cell: 4.0848 4.0848 7.7680 Å, 90.00 90.00 90.00°
Site moments in Bohr magnetons follow the coordinates.
Fractional coordinates of all 6 atoms:
Ge 0.5000 0.0000 0.2261  0.00
Ge 0.0000 0.5000 0.7739  0.00
Nd 0.0000 0.5000 0.3480  -0.09
Nd 0.5000 0.0000 0.6520  -0.09
Ti 0.5000 0.5000 0.0000  0.24
Ti 0.0000 0.0000 0.0000  0.24

Summary:
* density of states at the Fermi level: 8.09 states/eV/cell
* formation energy: -64 kJ/mol of atoms


# 3
A plane-wave DFT calculation with PBEsol was carried out for MnNbAgHg2 after structural relaxation.

Cell: 4.3229 4.9485 4.9485 Å, 90.00 90.00 90.00°
Site moments in Bohr magnetons follow the coordinates.
Fractional coordinates of all 5 atoms:
Nb 0.5000 0.0000 0.0000  -0.53
Mn 0.0000 0.0000 0.0000  1.45
Hg 0.0000 0.0000 0.5000  0.02
Hg 0.0000 0.5000 0.0000  0.02
Ag 0.5000 0.5000 0.5000  0.03

Summary:
* density of states at the Fermi level: 3.52 states/eV/cell
* formation energy: 77 kJ/mol of atoms


# 4
A plane-wave DFT calculation with PBEsol was carried out for BaSi2Se after structural relaxation.

Cell: 6.5258 6.5258 6.5258 Å, 104.39 104.39 120.19°
Fractional coordinates of all 8 atoms:
Si 0.7922 0.8750 0.4172
Si 0.4578 0.3750 0.5828
Si 0.1250 0.5422 0.9172
Si 0.6250 0.2078 0.0828
Ba 0.0000 0.0000 0.0000
Ba 0.2500 0.7500 0.5000
Se 0.5000 0.5000 0.0000
Se 0.7500 0.2500 0.5000

Summary:
* density of states at the Fermi level: 5.21 states/eV/cell
* formation energy (no corrections): 0.05 eV/atom


# 5
A plane-wave DFT calculation with PBEsol was carried out for ZnFe3Ru after structural relaxation.

Cell: 4.4034 4.4034 4.4034 Å, 90.00 90.00 90.00°
Site moments in Bohr magnetons follow the coordinates.
Fractional coordinates of all 5 atoms:
Ru 0.0000 0.0000 0.0000  0.19
Zn 0.5000 0.5000 0.5000  -0.02
Fe 0.0000 0.5000 0.0000  2.34
Fe 0.0000 0.0000 0.5000  2.34
Fe 0.5000 0.0000 0.0000  2.34

Summary:
* density of states at the Fermi level: 7.86 states/eV/cell
* formation energy: 148 kJ/mol of atoms


# 6
A plane-wave DFT calculation with PBEsol was carried out for Ca2GaNiBi after structural relaxation.

Cell: 5.1874 5.5394 5.5394 Å, 90.00 90.00 90.00°
Site moments in Bohr magnetons follow the coordinates.
Fractional coordinates of all 5 atoms:
Ni 0.5000 0.5000 0.5000  0.60
Ca 0.0000 0.0000 0.5000  -0.01
Ca 0.0000 0.5000 0.0000  -0.01
Bi 0.5000 0.0000 0.0000  0.01
Ga 0.0000 0.0000 0.0000  0.00

Summary:
* density of states at the Fermi level: 6.49 states/eV/cell
* formation energy: 50 kJ/mol of atoms


# 7
A plane-wave DFT calculation with PBEsol was carried out for ScAg4 after structural relaxation.

Cell: 4.0440 5.0232 5.0232 Å, 80.68 66.26 66.26°
Fractional coordinates of all 5 atoms:
Sc 0.0000 0.0000 0.0000
Ag 0.8007 0.7988 0.5998
Ag 0.5995 0.5998 0.2012
Ag 0.4005 0.4002 0.7988
Ag 0.1993 0.2012 0.4002

Summary:
* density of states at the Fermi level: 1.74 states/eV/cell
* formation energy: -22 kJ/mol of atoms


# 8
A plane-wave DFT calculation with PBEsol was carried out for TeIrRh after structural relaxation.

Cell: 4.2966 4.2966 4.2966 Å, 60.00 60.00 60.00°
Fractional coordinates of all 3 atoms:
Ir 0.5000 0.5000 0.5000
Rh 0.2500 0.2500 0.2500
Te 0.0000 0.0000 0.0000

Summary:
* density of states at the Fermi level: 5.01 states/eV/cell
* formation energy (no corrections): 0.44 eV/atom


density of states at the Fermi level of number 5 (ZnFe3Ru)?
7.86 states/eV/cell


The lowest density of states at the Fermi level belongs to which entry?
ScAg4